K3Na: PBEsol geometry, meta-GGA SCAN.

crystal system: cubic

Cell lengths 6.223, 6.223, 6.223 Å; angles 90.00, 90.00, 90.00 degrees
Positions (direct):
K  0.000  0.500  0.500
K  0.500  0.500  0.000
K  0.500  0.000  0.500
Na  0.000  0.000  0.000

***

MnZnCo2: PBEsol geometry, meta-GGA SCAN.

crystal system: monoclinic

Cell lengths 2.460, 4.728, 4.728 Å; angles 116.60, 101.51, 101.51 degrees
Last column: magnetic moment on the atom in μB.
Positions (direct):
Zn  0.500  0.500  0.500  -0.08
Co  0.000  0.000  0.500  1.80
Co  0.000  0.500  0.000  1.80
Mn  0.500  0.000  0.000  3.33

***

So what do the calculations give for final energy? Going down the list: -7.28, -16.61 eV/atom.